(1)
# Y3Au5 (GGA-PBE, relaxed)
data_Y3Au5
_chemical_formula_sum 'Y3 Au5'
_space_group_name_H-M_alt 'P -6 2 m'
_space_group_IT_number 189
_space_group_name_Hall 'P -6 -2'
_cell_length_a 7.4664
_cell_length_b 7.4664
_cell_length_c 3.7532
_cell_angle_alpha 90.00
_cell_angle_beta 90.00
_cell_angle_gamma 120.00
loop_
_atom_site_label
_atom_site_fract_x
_atom_site_fract_y
_atom_site_fract_z
Y1 0.0000 0.3812 0.0000
Au1 0.0000 0.7679 0.5000
Au2 0.3333 0.6667 0.5000
# * formation energy: -812.5 meV per atom
# * energy: -5.2849 eV/atom
# * energy relative to the lowest polymorph listed for this composition: 0.00 kJ/mol of atoms

=====

(2)
# TbNdInAg (GGA-PBE, relaxed)
data_TbNdInAg
_chemical_formula_sum 'Tb4 Nd4 In4 Ag4'
_space_group_name_H-M_alt 'F -4 3 m'
_space_group_IT_number 216
_space_group_name_Hall 'F -4 2 3'
_cell_length_a 7.567
_cell_length_b 7.567
_cell_length_c 7.567
_cell_angle_alpha 90.00
_cell_angle_beta 90.00
_cell_angle_gamma 90.00
loop_
_atom_site_label
_atom_site_fract_x
_atom_site_fract_y
_atom_site_fract_z
Tb1 0.000 0.000 0.000
Nd1 0.000 0.000 0.500
In1 0.250 0.250 0.250
Ag1 0.250 0.250 0.750
# * formation energy: -376.2 meV per atom
# * energy: -4.1232 eV/atom

=====

(3)
# Si2Se (GGA-PBE, relaxed)
data_Si2Se
_chemical_formula_sum 'Si8 Se4'
_space_group_name_H-M_alt 'C 1 2/m 1'
_space_group_IT_number 12
_space_group_name_Hall '-C 2y'
_cell_length_a 13.929
_cell_length_b 3.712
_cell_length_c 5.993
_cell_angle_alpha 90.00
_cell_angle_beta 92.70
_cell_angle_gamma 90.00
loop_
_atom_site_label
_atom_site_fract_x
_atom_site_fract_y
_atom_site_fract_z
Si1 0.192 0.000 0.496
Si2 0.247 0.000 0.882
Se1 0.097 0.500 0.280
# * raw formation energy: 17 kJ/mol of atoms
# * energy: -4.6033 eV/atom
# * energy relative to the lowest polymorph listed for this composition: 33.01 kJ/mol of atoms

=====

(4)
# Sn2HgPt9 (GGA-PBE, relaxed)
data_Sn2HgPt9
_chemical_formula_sum 'Sn2 Hg1 Pt9'
_space_group_name_H-M_alt 'P 4/m m m'
_space_group_IT_number 123
_space_group_name_Hall '-P 4 2'
_cell_length_a 4.061
_cell_length_b 4.061
_cell_length_c 12.184
_cell_angle_alpha 90.00
_cell_angle_beta 90.00
_cell_angle_gamma 90.00
loop_
_atom_site_label
_atom_site_fract_x
_atom_site_fract_y
_atom_site_fract_z
Sn1 0.000 0.000 0.170
Hg1 0.000 0.000 0.500
Pt1 0.000 0.500 0.000
Pt2 0.000 0.500 0.330
Pt3 0.500 0.500 0.164
Pt4 0.500 0.500 0.500
# * formation energy: -255.1 meV per atom
# * energy: -5.4780 eV/atom

=====

(5)
# LaP2Pt (GGA-PBE, relaxed)
data_LaP2Pt
_chemical_formula_sum 'La4 P8 Pt4'
_space_group_name_H-M_alt 'F m -3 m'
_space_group_IT_number 225
_space_group_name_Hall '-F 4 2 3'
_cell_length_a 6.728
_cell_length_b 6.728
_cell_length_c 6.728
_cell_angle_alpha 90.00
_cell_angle_beta 90.00
_cell_angle_gamma 90.00
loop_
_atom_site_label
_atom_site_fract_x
_atom_site_fract_y
_atom_site_fract_z
La1 0.000 0.000 0.000
P1 0.250 0.250 0.250
Pt1 0.000 0.000 0.500
# * formation energy: -430.2 meV per atom
# * energy: -5.8772 eV/atom
# * energy relative to the lowest polymorph listed for this composition: 55.56 kJ/mol of atoms

=====

(6)
# SnHPt3 (GGA-PBE, relaxed)
data_SnHPt3
_chemical_formula_sum 'Sn1 H1 Pt3'
_space_group_name_H-M_alt 'P m -3 m'
_space_group_IT_number 221
_space_group_name_Hall '-P 4 2 3'
_cell_length_a 4.129
_cell_length_b 4.129
_cell_length_c 4.129
_cell_angle_alpha 90.00
_cell_angle_beta 90.00
_cell_angle_gamma 90.00
loop_
_atom_site_label
_atom_site_fract_x
_atom_site_fract_y
_atom_site_fract_z
Sn1 0.000 0.000 0.000
H1 0.500 0.500 0.500
Pt1 0.000 0.500 0.500
# * energy: -5.2305 eV/atom
# * energy relative to the lowest polymorph listed for this composition: 0.00 kJ/mol of atoms

=====

Among the records above, which one has the lowest energy?
LaP2Pt